This record from the Alexandria database describes a relaxed structure of ZrNpCo2O8. The functional is PBE with a Hubbard U.

Properties
total DFT energy (no corrections) = -7.960 eV/atom
M_tot = 6.92 μB/f.u.
calculated volume = 12.5 Å³/atom

```
data_ZrNpCo2O8
_chemical_formula_sum 'Zr1 Np1 Co2 O8'
_cell_length_a 5.8039
_cell_length_b 5.8039
_cell_length_c 5.8039
_cell_angle_alpha 109.88
_cell_angle_beta 109.88
_cell_angle_gamma 108.66
_space_group_name_H-M_alt 'P 1'
_space_group_IT_number 1
_space_group_name_Hall 'P 1'
loop_
_atom_site_label
_atom_site_fract_x
_atom_site_fract_y
_atom_site_fract_z
_atom_site_occupancy
O1 0.5085 0.7070 0.8014 1
O2 0.7456 0.0556 0.6900 1
Zr1 0.0000 0.0000 0.0000 1
Co1 0.7500 0.2500 0.5000 1
O3 0.2930 0.4915 0.1986 1
Co2 0.5000 0.5000 0.0000 1
O4 0.9444 0.2544 0.3100 1
Np1 0.2500 0.7500 0.5000 1
O5 0.9444 0.6344 0.6900 1
O6 0.3656 0.0556 0.3100 1
O7 0.9056 0.7070 0.1986 1
O8 0.2930 0.0944 0.8014 1
```